Computed, not measured: a relaxed structure of PmTm2Nb at the PBE-GGA level of DFT.

Summary:
- Raw total energy: -21.63 eV/cell
- Density of states at the Fermi level: 1.44 states/eV/atom
- Calculated density: 8.8 g cm⁻³
- Symmetry: R-3m, No. 166
- Formation energy from the elements: 0.53 eV/atom

abc: 11.806 11.806 11.806
angles: 16.01 16.01 16.01
Fractional coordinates of all 4 atoms:
Pm  0.000  0.000  0.000
Tm  0.418  0.418  0.418
Tm  0.582  0.582  0.582
Nb  0.500  0.500  0.500



Computed, not measured: a relaxed structure of Ti12Ni5As3 at the PBE-GGA level of DFT.

Summary:
- Raw total energy: -542.31 eV/cell
- Density of states at the Fermi level: 1.36 states/eV/atom
- Calculated density: 4.9 g cm⁻³
- Symmetry: Ia-3d, No. 230
- Formation energy from the elements: 0.10 eV/atom

abc: 12.399 12.399 12.399
angles: 109.47 109.47 109.47
Fractional coordinates of all 80 atoms:
Ti  0.047  0.217  0.126
Ti  0.047  0.330  0.921
Ti  0.079  0.626  0.409
Ti  0.079  0.953  0.670
Ti  0.091  0.717  0.670
Ti  0.091  0.874  0.421
Ti  0.126  0.047  0.217
Ti  0.126  0.579  0.909
Ti  0.170  0.217  0.591
Ti  0.170  0.453  0.579
Ti  0.217  0.126  0.047
Ti  0.217  0.591  0.170
Ti  0.283  0.330  0.909
Ti  0.283  0.453  0.374
Ti  0.330  0.909  0.283
Ti  0.330  0.921  0.047
Ti  0.374  0.283  0.453
Ti  0.374  0.591  0.921
Ti  0.409  0.079  0.626
Ti  0.409  0.830  0.783
Ti  0.421  0.091  0.874
Ti  0.421  0.830  0.547
Ti  0.453  0.374  0.283
Ti  0.453  0.579  0.170
Ti  0.547  0.421  0.830
Ti  0.547  0.626  0.717
Ti  0.579  0.170  0.453
Ti  0.579  0.909  0.126
Ti  0.591  0.170  0.217
Ti  0.591  0.921  0.374
Ti  0.626  0.409  0.079
Ti  0.626  0.717  0.547
Ti  0.670  0.079  0.953
Ti  0.670  0.091  0.717
Ti  0.717  0.547  0.626
Ti  0.717  0.670  0.091
Ti  0.783  0.409  0.830
Ti  0.783  0.874  0.953
Ti  0.830  0.547  0.421
Ti  0.830  0.783  0.409
Ti  0.874  0.421  0.091
Ti  0.874  0.953  0.783
Ti  0.909  0.126  0.579
Ti  0.909  0.283  0.330
Ti  0.921  0.047  0.330
Ti  0.921  0.374  0.591
Ti  0.953  0.670  0.079
Ti  0.953  0.783  0.874
Ni  0.000  0.000  0.000
Ni  0.000  0.000  0.500
Ni  0.000  0.500  0.000
Ni  0.000  0.500  0.500
Ni  0.125  0.750  0.875
Ni  0.125  0.875  0.250
Ni  0.250  0.125  0.875
Ni  0.250  0.625  0.375
Ni  0.375  0.250  0.625
Ni  0.375  0.625  0.750
Ni  0.500  0.000  0.000
Ni  0.500  0.000  0.500
Ni  0.500  0.500  0.000
Ni  0.500  0.500  0.500
Ni  0.625  0.375  0.250
Ni  0.625  0.750  0.375
Ni  0.750  0.375  0.625
Ni  0.750  0.875  0.125
Ni  0.875  0.125  0.750
Ni  0.875  0.250  0.125
As  0.125  0.250  0.375
As  0.125  0.375  0.750
As  0.250  0.375  0.125
As  0.250  0.875  0.625
As  0.375  0.125  0.250
As  0.375  0.750  0.125
As  0.625  0.250  0.875
As  0.625  0.875  0.750
As  0.750  0.125  0.375
As  0.750  0.625  0.875
As  0.875  0.625  0.250
As  0.875  0.750  0.625



Computed, not measured: a relaxed structure of K2AgBi2 at the PBE-GGA level of DFT.

Summary:
- Raw total energy: -11.27 eV/cell
- Density of states at the Fermi level: 0.76 states/eV/atom
- Calculated density: 5.2 g cm⁻³
- Symmetry: I4/mmm, No. 139
- Formation energy from the elements: 0.31 eV/atom

abc: 8.547 8.547 8.547
angles: 146.31 146.31 48.39
Fractional coordinates of all 5 atoms:
K  0.250  0.750  0.500
K  0.750  0.250  0.500
Ag  0.000  0.000  0.000
Bi  0.409  0.409  0.000
Bi  0.591  0.591  0.000



Computed, not measured: a relaxed structure of Re2NiAs at the PBE-GGA level of DFT.

Summary:
- Raw total energy: -34.50 eV/cell
- Density of states at the Fermi level: 0.64 states/eV/atom
- Calculated density: 15.3 g cm⁻³
- Symmetry: Imm2, No. 44
- Formation energy from the elements: 0.21 eV/atom

abc: 4.983 4.983 4.983
angles: 144.66 128.95 63.61
Fractional coordinates of all 4 atoms:
Re  0.000  0.000  0.000
Re  0.728  0.228  0.500
Ni  0.460  0.460  0.000
As  0.245  0.745  0.500



Computed, not measured: a relaxed structure of Al3GaMo at the PBE-GGA level of DFT.

Summary:
- Raw total energy: -22.43 eV/cell
- Density of states at the Fermi level: 0.63 states/eV/atom
- Calculated density: 3.5 g cm⁻³
- Symmetry: Pm-3m, No. 221
- Formation energy from the elements: 0.53 eV/atom

abc: 4.894 4.894 4.894
angles: 90.00 90.00 90.00
Fractional coordinates of all 5 atoms:
Al  0.000  0.000  0.500
Al  0.000  0.500  0.000
Al  0.500  0.000  0.000
Ga  0.500  0.500  0.500
Mo  0.000  0.000  0.000



Computed, not measured: a relaxed structure of La3GeP2Rh9 at the PBE-GGA level of DFT.

Summary:
- Raw total energy: -106.93 eV/cell
- Density of states at the Fermi level: 0.38 states/eV/atom
- Calculated density: 8.6 g cm⁻³
- Symmetry: P-3m1, No. 164
- Formation energy from the elements: -0.70 eV/atom

abc: 6.112 6.112 8.863
angles: 90.00 90.00 120.00
Fractional coordinates of all 15 atoms:
La  0.000  0.000  0.000
La  0.333  0.667  0.658
La  0.667  0.333  0.342
Ge  0.000  0.000  0.500
P  0.333  0.667  0.164
P  0.667  0.333  0.836
Rh  0.000  0.500  0.000
Rh  0.153  0.305  0.287
Rh  0.153  0.847  0.287
Rh  0.305  0.153  0.713
Rh  0.500  0.000  0.000
Rh  0.500  0.500  0.000
Rh  0.695  0.847  0.287
Rh  0.847  0.153  0.713
Rh  0.847  0.695  0.713



Question: raw total energy of number 5 (Al3GaMo)?
Answer: -22.43 eV/cell



Question: Among the records above, which one has the lowest raw total energy?
Answer: Ti12Ni5As3



Please write out number 2 again, unchanged.
Computed, not measured: a relaxed structure of Ti12Ni5As3 at the PBE-GGA level of DFT.

Summary:
- Raw total energy: -542.31 eV/cell
- Density of states at the Fermi level: 1.36 states/eV/atom
- Calculated density: 4.9 g cm⁻³
- Symmetry: Ia-3d, No. 230
- Formation energy from the elements: 0.10 eV/atom

abc: 12.399 12.399 12.399
angles: 109.47 109.47 109.47
Fractional coordinates of all 80 atoms:
Ti  0.047  0.217  0.126
Ti  0.047  0.330  0.921
Ti  0.079  0.626  0.409
Ti  0.079  0.953  0.670
Ti  0.091  0.717  0.670
Ti  0.091  0.874  0.421
Ti  0.126  0.047  0.217
Ti  0.126  0.579  0.909
Ti  0.170  0.217  0.591
Ti  0.170  0.453  0.579
Ti  0.217  0.126  0.047
Ti  0.217  0.591  0.170
Ti  0.283  0.330  0.909
Ti  0.283  0.453  0.374
Ti  0.330  0.909  0.283
Ti  0.330  0.921  0.047
Ti  0.374  0.283  0.453
Ti  0.374  0.591  0.921
Ti  0.409  0.079  0.626
Ti  0.409  0.830  0.783
Ti  0.421  0.091  0.874
Ti  0.421  0.830  0.547
Ti  0.453  0.374  0.283
Ti  0.453  0.579  0.170
Ti  0.547  0.421  0.830
Ti  0.547  0.626  0.717
Ti  0.579  0.170  0.453
Ti  0.579  0.909  0.126
Ti  0.591  0.170  0.217
Ti  0.591  0.921  0.374
Ti  0.626  0.409  0.079
Ti  0.626  0.717  0.547
Ti  0.670  0.079  0.953
Ti  0.670  0.091  0.717
Ti  0.717  0.547  0.626
Ti  0.717  0.670  0.091
Ti  0.783  0.409  0.830
Ti  0.783  0.874  0.953
Ti  0.830  0.547  0.421
Ti  0.830  0.783  0.409
Ti  0.874  0.421  0.091
Ti  0.874  0.953  0.783
Ti  0.909  0.126  0.579
Ti  0.909  0.283  0.330
Ti  0.921  0.047  0.330
Ti  0.921  0.374  0.591
Ti  0.953  0.670  0.079
Ti  0.953  0.783  0.874
Ni  0.000  0.000  0.000
Ni  0.000  0.000  0.500
Ni  0.000  0.500  0.000
Ni  0.000  0.500  0.500
Ni  0.125  0.750  0.875
Ni  0.125  0.875  0.250
Ni  0.250  0.125  0.875
Ni  0.250  0.625  0.375
Ni  0.375  0.250  0.625
Ni  0.375  0.625  0.750
Ni  0.500  0.000  0.000
Ni  0.500  0.000  0.500
Ni  0.500  0.500  0.000
Ni  0.500  0.500  0.500
Ni  0.625  0.375  0.250
Ni  0.625  0.750  0.375
Ni  0.750  0.375  0.625
Ni  0.750  0.875  0.125
Ni  0.875  0.125  0.750
Ni  0.875  0.250  0.125
As  0.125  0.250  0.375
As  0.125  0.375  0.750
As  0.250  0.375  0.125
As  0.250  0.875  0.625
As  0.375  0.125  0.250
As  0.375  0.750  0.125
As  0.625  0.250  0.875
As  0.625  0.875  0.750
As  0.750  0.125  0.375
As  0.750  0.625  0.875
As  0.875  0.625  0.250
As  0.875  0.750  0.625



Repeat the second record exactly.
Computed, not measured: a relaxed structure of Ti12Ni5As3 at the PBE-GGA level of DFT.

Summary:
- Raw total energy: -542.31 eV/cell
- Density of states at the Fermi level: 1.36 states/eV/atom
- Calculated density: 4.9 g cm⁻³
- Symmetry: Ia-3d, No. 230
- Formation energy from the elements: 0.10 eV/atom

abc: 12.399 12.399 12.399
angles: 109.47 109.47 109.47
Fractional coordinates of all 80 atoms:
Ti  0.047  0.217  0.126
Ti  0.047  0.330  0.921
Ti  0.079  0.626  0.409
Ti  0.079  0.953  0.670
Ti  0.091  0.717  0.670
Ti  0.091  0.874  0.421
Ti  0.126  0.047  0.217
Ti  0.126  0.579  0.909
Ti  0.170  0.217  0.591
Ti  0.170  0.453  0.579
Ti  0.217  0.126  0.047
Ti  0.217  0.591  0.170
Ti  0.283  0.330  0.909
Ti  0.283  0.453  0.374
Ti  0.330  0.909  0.283
Ti  0.330  0.921  0.047
Ti  0.374  0.283  0.453
Ti  0.374  0.591  0.921
Ti  0.409  0.079  0.626
Ti  0.409  0.830  0.783
Ti  0.421  0.091  0.874
Ti  0.421  0.830  0.547
Ti  0.453  0.374  0.283
Ti  0.453  0.579  0.170
Ti  0.547  0.421  0.830
Ti  0.547  0.626  0.717
Ti  0.579  0.170  0.453
Ti  0.579  0.909  0.126
Ti  0.591  0.170  0.217
Ti  0.591  0.921  0.374
Ti  0.626  0.409  0.079
Ti  0.626  0.717  0.547
Ti  0.670  0.079  0.953
Ti  0.670  0.091  0.717
Ti  0.717  0.547  0.626
Ti  0.717  0.670  0.091
Ti  0.783  0.409  0.830
Ti  0.783  0.874  0.953
Ti  0.830  0.547  0.421
Ti  0.830  0.783  0.409
Ti  0.874  0.421  0.091
Ti  0.874  0.953  0.783
Ti  0.909  0.126  0.579
Ti  0.909  0.283  0.330
Ti  0.921  0.047  0.330
Ti  0.921  0.374  0.591
Ti  0.953  0.670  0.079
Ti  0.953  0.783  0.874
Ni  0.000  0.000  0.000
Ni  0.000  0.000  0.500
Ni  0.000  0.500  0.000
Ni  0.000  0.500  0.500
Ni  0.125  0.750  0.875
Ni  0.125  0.875  0.250
Ni  0.250  0.125  0.875
Ni  0.250  0.625  0.375
Ni  0.375  0.250  0.625
Ni  0.375  0.625  0.750
Ni  0.500  0.000  0.000
Ni  0.500  0.000  0.500
Ni  0.500  0.500  0.000
Ni  0.500  0.500  0.500
Ni  0.625  0.375  0.250
Ni  0.625  0.750  0.375
Ni  0.750  0.375  0.625
Ni  0.750  0.875  0.125
Ni  0.875  0.125  0.750
Ni  0.875  0.250  0.125
As  0.125  0.250  0.375
As  0.125  0.375  0.750
As  0.250  0.375  0.125
As  0.250  0.875  0.625
As  0.375  0.125  0.250
As  0.375  0.750  0.125
As  0.625  0.250  0.875
As  0.625  0.875  0.750
As  0.750  0.125  0.375
As  0.750  0.625  0.875
As  0.875  0.625  0.250
As  0.875  0.750  0.625